(1)
Density functional theory data (PBE-GGA) for a relaxed structure of Y2CoHg.

a b c (Å): 3.7831 3.7831 24.7198
angles (deg): 90.00 90.00 120.00
Last column: nearest neighbours and their distance in Å.
Space group R3m (No. 160, hexagonal axes)
Inequivalent atoms, fractional coordinates:
1 Y 0.0000 0.0000 0.0000 (multiplicity 3)  3 Co 2.67
2 Y 0.0000 0.0000 0.2093 (multiplicity 3)  3 Hg 3.12
3 Co 0.0000 0.0000 0.7290 (multiplicity 3)  3 Hg 2.59, 3 Y 2.67
4 Hg 0.0000 0.0000 0.4523 (multiplicity 3)  3 Co 2.59

Calculated values
DFT total energy	-0.1821	Ha/atom
formation energy from the elements	130	meV/atom



(2)
Density functional theory data (PBE-GGA) for a relaxed structure of YCo2Hg.

a b c (Å): 4.2657 4.2657 18.2700
angles (deg): 90.00 90.00 90.00
Last column: nearest neighbours and their distance in Å.
Space group I-42d (No. 122)
Inequivalent atoms, fractional coordinates:
1 Y 0.0000 0.0000 0.0000 (multiplicity 4)  4 Hg 3.02, 4 Co 3.03
2 Co 0.1039 0.2500 0.6250 (multiplicity 8)  2 Co 2.31, 2 Hg 2.56
3 Hg 0.0000 0.0000 0.5000 (multiplicity 4)  4 Co 2.56

Calculated values
DFT total energy	-0.1797	Ha/atom
formation energy from the elements	355	meV/atom



(3)
Density functional theory data (PBE-GGA) for a relaxed structure of Y5Co2Hg2.

a b c (Å): 16.1994 7.3082 7.3837
angles (deg): 90.00 90.00 90.00
Last column: nearest neighbours and their distance in Å.
Space group Cmce (No. 64)
Inequivalent atoms, fractional coordinates:
1 Y 0.0000 0.0000 0.0000 (multiplicity 4)  4 Co 2.98, 4 Y 3.33
2 Y 0.1223 0.1829 0.3192 (multiplicity 16)  3 Co 2.94-2.97, 3 Hg 3.11-3.17
3 Co 0.0000 0.1071 0.6101 (multiplicity 8)  1 Co 2.26
4 Hg 0.2208 0.0000 0.0000 (multiplicity 8)  6 Y 3.11-3.17

Calculated values
DFT total energy	-0.2041	Ha/atom
formation energy from the elements	-317	meV/atom



Question: DFT total energy of number 3 (Y5Co2Hg2)?
Answer: -0.2041 Ha/atom



Question: What is the formation energy from the elements in the second record?
Answer: 355 meV/atom



Question: Which of these has the lowest DFT total energy?
Answer: Y5Co2Hg2